## Co2OsF (PBE with a Hubbard U)

Data for Co2OsF after structural relaxation.

```
8
Lattice="-5.6676 -1.7083 1.0458 1.7601 -2.7495 5.0473 -2.4343 0.3172 4.6011" Properties=species:S:1:pos:R:3 pbc="T T T"
Co -3.1942 -1.5852 6.0136
Co -0.5290 -1.9468 4.4932
Co -5.3417 -3.5114 8.5044
Co -3.6188 -1.2380 2.3772
F -1.9537 -2.2289 3.0466
F -1.3140 -2.3306 6.3475
Os -5.0278 -1.8100 4.3467
Os 0.0000 0.0000 0.0000
```

Calculated values
**Final energy**: -5.29 eV per atom
**Symmetry**: I-42d
**Polymorph energy (0 for the lowest one)**: 0 meV/atom